Computed, not measured: Dy2Pd5Pt4 after structural relaxation at the GGA-PBE level of DFT.

abc: 5.8341 5.8341 8.6237
angles: 121.43 121.43 56.57
Positions (direct):
Dy: 0.0720 0.0720 0.2693
Dy: 0.9280 0.9280 0.7307
Pd: 0.0798 0.5961 0.3253
Pd: 0.4039 0.9202 0.6747
Pd: 0.5000 0.5000 0.0000
Pd: 0.5961 0.0798 0.3253
Pd: 0.9202 0.4039 0.6747
Pt: 0.2521 0.2521 0.0143
Pt: 0.3925 0.3925 0.6323
Pt: 0.6075 0.6075 0.3677
Pt: 0.7479 0.7479 0.9857

Summary:
ΔH_f (0 K) = -55 kJ per mole of atoms
space group = C2/m, No. 12

Computed, not measured: DyPdPt after structural relaxation at the GGA-PBE level of DFT.

abc: 4.5761 4.5761 4.5761
angles: 111.72 108.50 108.22
Positions (direct):
Dy: 0.0000 0.0000 0.0000
Pd: 0.5000 0.0000 0.5000
Pt: 0.5000 0.5000 0.0000

Summary:
ΔH_f (0 K) = -32 kJ per mole of atoms
space group = Immm, No. 71

Computed, not measured: Dy2PdPt after structural relaxation at the GGA-PBE level of DFT.

abc: 4.5862 5.5536 6.9761
angles: 90.00 90.00 90.00
Positions (direct):
Dy: 0.0000 0.1041 0.0000
Dy: 0.0000 0.8959 0.5000
Dy: 0.5000 0.3873 0.6344
Dy: 0.5000 0.6127 0.1344
Pd: 0.0000 0.4087 0.3581
Pd: 0.0000 0.5913 0.8581
Pt: 0.5000 0.0996 0.2738
Pt: 0.5000 0.9004 0.7738

Summary:
ΔH_f (0 K) = -108 kJ per mole of atoms
space group = Pmc2_1, No. 26